1.
An optimized crystal structure of Er2ScS4. Source: Alexandria, functional PBE.

Calculated values
Its symmetry is Cmcm (63). The value obtained for the relative energy among the computed polymorphs is 0.00 eV per formula unit. Its crystal system is orthorhombic. The calculation puts the raw formation energy at -1.9419 eV/atom.

Unit cell a=3.6926 b=6.6084 c=12.9160 alpha=90.00 beta=90.00 gamma=106.22
Last column: nearest neighbours and their distance in Å.
Element x y z (fractional)
Er1 0.8696 0.7393 0.5738  6 S 2.66-2.81
Er2 0.1304 0.2607 0.0738  6 S 2.66-2.81
Er3 0.1304 0.2607 0.4262  6 S 2.66-2.81
Er4 0.8696 0.7393 0.9262  6 S 2.66-2.81
S1 0.9816 0.9633 0.7500  2 Sc 2.64, 2 Er 2.68
S2 0.5000 0.0000 0.0000  4 Er 2.66
S3 0.2210 0.4421 0.6245  2 Sc 2.71, 3 Er 2.72-2.81
S4 0.7790 0.5579 0.3755  2 Sc 2.71, 3 Er 2.72-2.81
S5 0.5000 0.0000 0.5000  4 Er 2.66
S6 0.2210 0.4421 0.8755  2 Sc 2.71, 3 Er 2.72-2.81
S7 0.7790 0.5579 0.1245  2 Sc 2.71, 3 Er 2.72-2.81
S8 0.0184 0.0367 0.2500  2 Sc 2.64, 2 Er 2.68
Sc1 0.3697 0.7395 0.2500  6 S 2.64-2.71
Sc2 0.6303 0.2605 0.7500  6 S 2.64-2.71

---

2.
An optimized crystal structure of Er5InGe2. Source: Alexandria, functional PBE.

Calculated values
As for the formation energy: -0.6521 eV per atom. Its symmetry is I4/mcm (140). Its crystal system is tetragonal.

Unit cell a=7.7776 b=7.7776 c=8.7534 alpha=116.38 beta=116.38 gamma=90.00
Last column: nearest neighbours and their distance in Å.
Element x y z (fractional)
Er1 0.0179 0.5179 0.7175  3 Ge 2.89-3.05
Er2 0.6996 0.1996 0.7175  3 Ge 2.89-3.05
Er3 0.5000 0.5000 0.0000  4 Ge 2.99
Er4 0.1996 0.0179 0.7175  3 Ge 2.89-3.05
Er5 0.4821 0.3004 0.2825  3 Ge 2.89-3.05
Er6 0.9821 0.4821 0.2825  3 Ge 2.89-3.05
Er7 0.8004 0.9821 0.2825  3 Ge 2.89-3.05
Er8 0.3004 0.8004 0.2825  3 Ge 2.89-3.05
Er9 0.5179 0.6996 0.7175  3 Ge 2.89-3.05
Er10 0.0000 0.0000 0.0000  4 Ge 2.99
Ge1 0.6442 0.1442 0.0000  8 Er 2.89-3.05, 1 Ge 3.17
Ge2 0.8558 0.6442 0.0000  8 Er 2.89-3.05, 1 Ge 3.17
Ge3 0.1442 0.3558 0.0000  8 Er 2.89-3.05, 1 Ge 3.17
Ge4 0.3558 0.8558 0.0000  8 Er 2.89-3.05, 1 Ge 3.17
In1 0.7500 0.7500 0.5000  10 Er 3.28-3.40
In2 0.2500 0.2500 0.5000  10 Er 3.28-3.40

---

3.
An optimized crystal structure of LaMnS2. Source: Alexandria, functional PBE.

Calculated values
Its symmetry is I-42d (122). The value obtained for the relative energy among the computed polymorphs is 0.00 eV per formula unit. Its crystal system is tetragonal. The calculation puts the raw formation energy at -0.9119 eV/atom.

Unit cell a=5.4883 b=5.4883 c=7.1291 alpha=67.36 beta=67.36 gamma=90.00
Last column: nearest neighbours and their distance in Å.
Element x y z (fractional)
S1 0.2255 0.6250 0.2500  2 Mn 2.19
S2 0.3750 0.4755 0.7500  2 Mn 2.19
S3 0.8750 0.7745 0.7500  2 Mn 2.19
S4 0.5245 0.1250 0.2500  2 Mn 2.19
La1 0.0000 0.0000 0.0000  4 S 2.80
La2 0.7500 0.2500 0.5000  4 S 2.80
Mn1 0.2500 0.7500 0.5000  4 S 2.19
Mn2 0.5000 0.5000 0.0000  4 S 2.19

---

4.
An optimized crystal structure of PmHo2Tl4. Source: Alexandria, functional PBE.

Calculated values
As for the formation energy: -0.2191 eV per atom. Its symmetry is I4/mmm (139). The value obtained for the relative energy among the computed polymorphs is 0.00 eV per formula unit. Its crystal system is tetragonal.

Unit cell a=6.5200 b=6.5200 c=6.5200 alpha=111.98 beta=108.23 gamma=108.23
Last column: nearest neighbours and their distance in Å.
Element x y z (fractional)
Tl1 0.5000 0.5000 0.5000  4 Ho 3.26, 2 Pm 3.26, 2 Tl 3.65
Tl2 0.0000 0.5000 0.0000  2 Pm 3.26, 4 Ho 3.26, 2 Tl 3.65
Tl3 0.0000 0.0000 0.5000  2 Pm 3.26, 4 Ho 3.26, 2 Tl 3.65
Tl4 0.5000 0.0000 0.0000  4 Ho 3.26, 2 Pm 3.26, 2 Tl 3.65
Ho1 0.5000 0.0000 0.5000  8 Tl 3.26, 2 Ho 3.65
Ho2 0.5000 0.5000 0.0000  8 Tl 3.26, 2 Ho 3.65
Pm1 0.0000 0.0000 0.0000  8 Tl 3.26

---

5.
An optimized crystal structure of Ti2InHW. Source: Alexandria, functional PBE.

Calculated values
Its symmetry is P4/mmm (123). Its crystal system is tetragonal. The total energy is -7.088 eV per atom.

Unit cell a=4.3850 b=4.3850 c=3.7044 alpha=90.00 beta=90.00 gamma=90.00
Last column: nearest neighbours and their distance in Å.
Element x y z (fractional)
W1 0.0000 0.0000 0.5000  2 H 1.85
Ti1 0.0000 0.5000 0.0000  2 H 2.19
Ti2 0.5000 0.0000 0.0000  2 H 2.19
In1 0.5000 0.5000 0.5000  8 Ti 2.87, 4 W 3.10
H1 0.0000 0.0000 0.0000  2 W 1.85

---

6.
An optimized crystal structure of K2TaAg. Source: Alexandria, functional PBE.

Calculated values
As for the formation energy: 1.2774 eV per atom. Its symmetry is I4/mmm (139). The value obtained for the relative energy among the computed polymorphs is 1.92 eV per formula unit. Its crystal system is tetragonal.

Unit cell a=6.6009 b=6.6009 c=6.6009 alpha=140.94 beta=140.94 gamma=56.43
Last column: nearest neighbours and their distance in Å.
Element x y z (fractional)
Ta1 0.7500 0.2500 0.5000  4 Ag 3.12
K1 0.0000 0.0000 0.0000  4 K 3.12
K2 0.5000 0.5000 0.0000  4 K 3.12
Ag1 0.2500 0.7500 0.5000  4 Ta 3.12

---

7.
An optimized crystal structure of AlNiPt2. Source: Alexandria, functional PBE.

Calculated values
As for the formation energy: -0.5208 eV per atom. Its symmetry is C2/m (12). Its crystal system is monoclinic.

Unit cell a=4.5235 b=4.5235 c=4.7697 alpha=77.94 beta=77.94 gamma=36.62
Last column: nearest neighbours and their distance in Å.
Element x y z (fractional)
Pt1 0.9937 0.9937 0.9992  3 Al 2.59-2.73, 3 Ni 2.62-2.67, 6 Pt 2.75-2.84
Pt2 0.5063 0.5063 0.5008  3 Al 2.59-2.73, 3 Ni 2.62-2.67, 6 Pt 2.75-2.84
Al1 0.2500 0.2500 0.2500  6 Pt 2.59-2.73, 4 Ni 2.78, 2 Al 2.84
Ni1 0.7500 0.7500 0.7500  6 Pt 2.62-2.67, 4 Al 2.78, 2 Ni 2.84

---

8.
An optimized crystal structure of AgMoBr2. Source: Alexandria, functional PBE.

Calculated values
Its symmetry is I-4m2 (119). The value obtained for the relative energy among the computed polymorphs is 1.65 eV per formula unit. Its crystal system is tetragonal. The calculation puts the raw formation energy at 0.5571 eV/atom.

Unit cell a=6.9832 b=6.9832 c=6.9832 alpha=146.85 beta=146.85 gamma=47.59
Last column: nearest neighbours and their distance in Å.
Element x y z (fractional)
Br1 0.2500 0.7500 0.5000  4 Ag 2.82
Br2 0.0000 0.0000 0.0000  4 Mo 2.82
Ag1 0.7500 0.2500 0.5000  4 Br 2.82
Mo1 0.5000 0.5000 0.0000  4 Br 2.82